Entry 1:
Ca3PrCu: relaxed, PBE.

Structure (POSCAR):
```
Ca3PrCu
1.0
-0.6467 0.4271 -5.5781
-5.5115 -1.0118 0.5615
-0.9596 5.5235 0.5341
Ca Cu Pr
3 1 1
Cartesian
-2.7557 -0.5059 0.2808
-0.3233 0.2135 -2.7890
-0.4798 2.7618 0.2671
0.0000 0.0000 0.0000
-3.5589 2.4694 -2.2412
```

Computed properties:
Formation energy   0.118 eV/atom
Total DFT energy (no corrections)   -2.858 eV/atom
Symmetry   No. 221


Entry 2:
TlHgB: relaxed, PBE.

Structure (POSCAR):
```
TlHgB
1.0
3.2010 0.0086 0.0773
-0.0089 6.4368 0.0428
1.3087 -0.0877 6.7457
Tl B Hg
2 2 2
Cartesian
2.3529 6.1402 1.7678
2.1157 0.7675 5.0228
0.7444 2.2250 0.6898
2.3485 2.2812 0.5816
3.7097 4.3359 5.8927
0.6603 3.1754 3.0357
```

Computed properties:
Formation energy   0.307 eV/atom
Total DFT energy (no corrections)   -2.808 eV/atom
Symmetry   No. 1


Entry 3:
SbPbAu: relaxed, PBE.

Structure (POSCAR):
```
SbPbAu
1.0
9.6333 0.0000 0.0915
0.0000 4.6287 0.0000
-2.1579 0.0000 7.6728
Pb Sb Au
4 4 4
Cartesian
5.3331 2.3144 0.2335
0.0405 2.3144 1.4214
4.2541 0.0000 4.0699
-1.0385 0.0000 5.2579
2.7690 0.0000 0.9046
6.7794 2.3144 3.4579
1.6901 2.3144 4.7410
5.7005 0.0000 7.2943
7.8433 0.0000 2.3825
6.7643 2.3144 6.2189
3.1637 2.3144 2.3880
2.0848 0.0000 6.2244
```

Computed properties:
ΔE_f (raw)   -87 meV per atom
Energy above the lowest structure with this stoichiometry   0 meV/atom
Total DFT energy (no corrections)   -3.790 eV/atom
Symmetry   No. 8


Entry 4:
AlGa4Pb: relaxed, PBE.

Structure (POSCAR):
```
AlGa4Pb
1.0
-4.9912 2.2464 -1.4527
-4.3732 -3.3785 -1.2366
-4.4010 -0.3473 3.5466
Al Ga Pb
1 4 1
Cartesian
0.0000 0.0000 0.0000
-6.4013 -0.7510 -1.2428
-6.4153 0.7695 1.1565
-8.6089 -0.9252 0.5362
-6.1053 -2.0520 1.2649
-3.4414 -0.3698 0.2143
```

Computed properties:
Formation energy   0.144 eV/atom
Total DFT energy (no corrections)   -3.116 eV/atom
Symmetry   No. 216